The following is a PBE-GGA calculation of an optimized crystal structure of Ac2YPaRh6, from Alexandria.

The structure belongs to space group C2/m (No. 12); the cell edges are 10.3527, 5.9756 and 8.9427 Å and the angles 90.00°, 112.63° and 90.00°. Symmetry generates all atoms from Ac at (0.2189, 0.0000, 0.1579), Y at (0.0000, 0.0000, 0.5000), Pa at (0.0000, 0.5000, 0.0000), Rh at (0.0120, 0.2433, 0.7767) and Rh at (0.2453, 0.5000, 0.2236).

The calculated total energy is -145.74 eV per cell. The formation enthalpy at 0 K comes out at -0.46 eV/atom.

The following is a PBE-GGA calculation of an optimized crystal structure of Ac2PaRu2, from Alexandria.

The structure belongs to space group C2/c (No. 15); the cell edges are 10.7715, 6.4187 and 8.0905 Å and the angles 90.00°, 98.92° and 90.00°. Symmetry generates all atoms from Ac at (0.1529, 0.1103, 0.1508), Pa at (0.0000, 0.3941, 0.7500) and Ru at (0.1180, 0.3831, 0.5141).

The calculated total energy is -152.04 eV per cell. The formation enthalpy at 0 K comes out at -0.35 eV/atom.

The following is a PBE-GGA calculation of an optimized crystal structure of AcPaRu, from Alexandria.

The structure belongs to space group P3m1 (No. 156); the cell edges are 3.8914, 3.8914 and 6.6128 Å and the angles 90.00°, 90.00° and 120.00°. Symmetry generates all atoms from Ac at (0.0000, 0.0000, 0.0000), Pa at (0.6667, 0.3333, 0.4672) and Ru at (0.3333, 0.6667, 0.6737).

The energy above the most stable polymorph in this dataset is 112.2 meV/atom. The calculated total energy is -23.15 eV per cell. The formation enthalpy at 0 K comes out at -0.09 eV/atom.

The following is a PBE-GGA calculation of an optimized crystal structure of AcPaRu, from Alexandria.

The structure belongs to space group P2_12_12_1 (No. 19); the cell edges are 3.9144, 5.9182 and 14.8824 Å and the angles 90.00°, 90.00° and 90.00°. Symmetry generates all atoms from Ac at (0.0014, 0.0857, 0.1752), Pa at (0.0013, 0.9078, 0.9185) and Ru at (0.0014, 0.4408, 0.9872).

The energy above the most stable polymorph in this dataset is 0.0 meV/atom. The calculated total energy is -93.96 eV per cell. The formation enthalpy at 0 K comes out at -0.20 eV/atom.

The following is a PBE-GGA calculation of an optimized crystal structure of AcPa2Ru, from Alexandria.

The structure belongs to space group R-3m (No. 166, hexagonal axes); the cell edges are 4.7279, 4.7279 and 18.9123 Å and the angles 90.00°, 90.00° and 120.00°. Symmetry generates all atoms from Ac at (0.0000, 0.0000, 0.0000), Pa at (0.0000, 0.0000, 0.1962) and Ru at (0.0000, 0.0000, 0.5000).

The energy above the most stable polymorph in this dataset is 223.7 meV/atom. The calculated total energy is -94.52 eV per cell. The formation enthalpy at 0 K comes out at 0.22 eV/atom.

The following is a PBE-GGA calculation of an optimized crystal structure of AcPaRu, from Alexandria.

The structure belongs to space group I4mm (No. 107); the cell edges are 3.6020, 3.6020 and 12.2413 Å and the angles 90.00°, 90.00° and 90.00°. Symmetry generates all atoms from Ac at (0.0000, 0.0000, 0.0000), Pa at (0.0000, 0.0000, 0.2901) and Ru at (0.0000, 0.0000, 0.7052).

The energy above the most stable polymorph in this dataset is 42.4 meV/atom. The calculated total energy is -46.73 eV per cell. The formation enthalpy at 0 K comes out at -0.16 eV/atom.

The following is a PBE-GGA calculation of an optimized crystal structure of AcPa2Ru, from Alexandria.

The structure belongs to space group P4/mmm (No. 123); the cell edges are 3.6088, 3.6088 and 8.0991 Å and the angles 90.00°, 90.00° and 90.00°. Symmetry generates all atoms from Ac at (0.0000, 0.0000, 0.0000), Pa at (0.5000, 0.5000, 0.3213) and Ru at (0.0000, 0.0000, 0.5000).

The energy above the most stable polymorph in this dataset is 0.0 meV/atom. The calculated total energy is -32.40 eV per cell. The formation enthalpy at 0 K comes out at -0.01 eV/atom.

The following is a PBE-GGA calculation of an optimized crystal structure of AcPaTcRu, from Alexandria.

The structure belongs to space group F-43m (No. 216); the cell edges are 7.1180, 7.1180 and 7.1180 Å and the angles 90.00°, 90.00° and 90.00°. Symmetry generates all atoms from Ac at (0.0000, 0.0000, 0.0000), Pa at (0.0000, 0.0000, 0.5000), Tc at (0.2500, 0.2500, 0.7500) and Ru at (0.2500, 0.2500, 0.2500).

The calculated total energy is -130.64 eV per cell. The formation enthalpy at 0 K comes out at 0.15 eV/atom.

The following is a PBE-GGA calculation of an optimized crystal structure of AcPa2S6, from Alexandria.

The structure belongs to space group C2/c (No. 15); the cell edges are 13.8650, 11.1911 and 7.1759 Å and the angles 90.00°, 115.87° and 90.00°. Symmetry generates all atoms from Ac at (0.0000, 0.1759, 0.2500), Pa at (0.2339, 0.4211, 0.9176), S at (0.1263, 0.0427, 0.6748), S at (0.1322, 0.2608, 0.0345) and S at (0.1353, 0.3954, 0.5073).

The energy above the most stable polymorph in this dataset is 0.0 meV/atom. The calculated total energy is -253.82 eV per cell. The calculation puts the energy relative to the elements, uncorrected at -1732 meV/atom.

The following is a PBE-GGA calculation of an optimized crystal structure of AcPa4S8, from Alexandria.

The structure belongs to space group F-43m (No. 216); the cell edges are 11.6501, 11.6501 and 11.6501 Å and the angles 90.00°, 90.00° and 90.00°. Symmetry generates all atoms from Ac at (0.0000, 0.0000, 0.0000), Pa at (0.1216, 0.1216, 0.6216), S at (0.1123, 0.1123, 0.3877) and S at (0.1400, 0.1400, 0.8600).

The calculated total energy is -380.28 eV per cell. The calculation puts the energy relative to the elements, uncorrected at -1535 meV/atom.

The following is a PBE-GGA calculation of an optimized crystal structure of Ac2Pa2S7, from Alexandria.

The structure belongs to space group Cmmm (No. 65); the cell edges are 8.9019, 10.0062 and 6.7515 Å and the angles 90.00°, 90.00° and 90.00°. Symmetry generates all atoms from Ac at (0.2467, 0.0000, 0.0000), Pa at (0.0000, 0.2717, 0.5000), S at (0.0000, 0.0000, 0.5000), S at (0.0000, 0.5000, 0.2658) and S at (0.2500, 0.2500, 0.2537).

The energy above the most stable polymorph in this dataset is 81.5 meV/atom. The calculated total energy is -150.95 eV per cell. The calculation puts the energy relative to the elements, uncorrected at -1761 meV/atom.

The following is a PBE-GGA calculation of an optimized crystal structure of AcPaS2, from Alexandria.

The structure belongs to space group R-3m (No. 166, hexagonal axes); the cell edges are 4.0254, 4.0254 and 20.7932 Å and the angles 90.00°, 90.00° and 120.00°. Symmetry generates all atoms from Ac at (0.0000, 0.0000, 0.0000), Pa at (0.0000, 0.0000, 0.5000) and S at (0.0000, 0.0000, 0.2415).

The energy above the most stable polymorph in this dataset is 0.0 meV/atom. The calculated total energy is -86.18 eV per cell. The calculation puts the energy relative to the elements, uncorrected at -1717 meV/atom.